[1]
A relaxed structure of Li6Ga2Ru. Source: Alexandria via LeMat-Bulk, functional PBE.

Structure (extended XYZ):
```
9
Lattice="6.617 -2.001 0.000 6.617 2.001 0.000 -2.129 0.000 5.222" Properties=species:S:1:pos:R:3 pbc="T T T"
Li 0.981 0.000 0.761
Li 0.984 0.000 4.309
Li 3.441 0.000 2.735
Li 7.663 0.000 2.487
Li 10.120 0.000 0.912
Li 10.123 0.000 4.461
Ga 5.480 0.000 0.998
Ga 5.624 0.000 4.224
Ru -1.065 0.000 2.611
```

## Properties
Offset from the most stable computed form: 0.000 eV/atom
Magnetization: 0.0 μB per formula unit
Mass density: 3389 kg/m³

[2]
A relaxed structure of Li4Ga4Ru3. Source: Alexandria via LeMat-Bulk, functional PBE.

Structure (extended XYZ):
```
11
Lattice="2.228 -2.230 0.000 2.228 2.230 0.000 -2.207 0.000 15.913" Properties=species:S:1:pos:R:3 pbc="T T T"
Li -0.005 0.000 2.752
Li 0.019 0.000 8.903
Li 2.231 0.000 7.010
Li 2.255 0.000 13.161
Ga -0.005 0.000 5.346
Ga 0.025 0.000 14.485
Ga 2.225 0.000 1.428
Ga 2.255 0.000 10.567
Ru 0.000 0.000 0.000
Ru 0.027 0.000 11.794
Ru 2.223 0.000 4.119
```

## Properties
Magnetization: 0.0 μB per formula unit
Mass density: 6404 kg/m³

[3]
A relaxed structure of Li6Ga2Ru. Source: Alexandria via LeMat-Bulk, functional PBE.

Structure (extended XYZ):
```
9
Lattice="3.561 -6.624 0.000 3.561 6.624 0.000 -0.451 0.000 3.015" Properties=species:S:1:pos:R:3 pbc="T T T"
Li 1.080 2.222 1.050
Li 0.984 0.000 2.609
Li 1.080 -2.222 1.050
Li 5.591 2.222 1.965
Li 5.688 0.000 0.406
Li 5.591 -2.222 1.965
Ga 3.561 2.032 0.000
Ga 3.561 -2.032 0.000
Ru 3.336 0.000 1.508
```

## Properties
Offset from the most stable computed form: 0.036 eV/atom
Magnetization: 0.2 μB per formula unit
Mass density: 3294 kg/m³

| no. | uncorrected energy (eV per atom) |
| --- | --- |
| 1 | -3.1432 |
| 2 | -4.5367 |
| 3 | -3.1069 |